No. 1
The following is a PBE calculation of a geometry-optimized PmPuPdRu structure, from Alexandria.

Cell: 4.9387 4.9387 4.9387 Å, 60.00 60.00 60.00°
Closest atoms and distances in Å follow each position.
Fractional coordinates of all 4 atoms:
Pm 0.0000 0.0000 0.0000  4 Pd 3.02, 4 Ru 3.02
Pu 0.5000 0.5000 0.5000  4 Pd 3.02, 4 Ru 3.02
Pd 0.7500 0.7500 0.7500  4 Pm 3.02, 4 Pu 3.02
Ru 0.2500 0.2500 0.2500  4 Pm 3.02, 4 Pu 3.02

The total energy comes out at -8.70 eV per atom. The formation energy is -316 meV/atom.

No. 2
The following is a PBE calculation of a geometry-optimized TiHRh2 structure, from Alexandria.

Cell: 2.9496 2.9496 5.6187 Å, 90.00 90.00 90.00°
Closest atoms and distances in Å follow each position.
Fractional coordinates of all 4 atoms:
Ti 0.0000 0.0000 0.0000  8 Rh 2.58, 2 H 2.81
H 0.0000 0.0000 0.5000  8 Rh 2.45
Rh 0.5000 0.5000 0.2716  4 H 2.45, 1 Rh 2.57, 4 Ti 2.58
Rh 0.5000 0.5000 0.7284  4 H 2.45, 1 Rh 2.57, 4 Ti 2.58

The total energy comes out at -6.74 eV per atom. The polymorph energy (0 for the lowest one) comes out at 0.142 eV/atom.